! PBE with a Hubbard U V6O5F19, relaxed; values from VASP
&SYSTEM
  ibrav = 0, nat = 30, ntyp = 3
/
ATOMIC_SPECIES
V 50.94 V.upf
O 16.00 O.upf
F 19.00 F.upf
CELL_PARAMETERS angstrom
5.387 0.000 0.000
0.103 5.539 0.000
0.060 2.749 14.607
ATOMIC_POSITIONS crystal
V 0.000 0.000 0.000
V 0.009 0.429 0.336
V 0.139 0.740 0.678
V 0.503 0.492 0.011
V 0.530 0.904 0.340
V 0.635 0.193 0.667
O 0.312 0.269 0.037
O 0.366 0.923 0.693
O 0.793 0.818 0.974
O 0.806 0.658 0.315
O 0.866 0.008 0.648
F 0.127 0.422 0.225
F 0.133 0.757 0.558
F 0.142 0.117 0.893
F 0.275 0.762 0.028
F 0.280 0.119 0.365
F 0.291 0.441 0.698
F 0.292 0.625 0.356
F 0.462 0.590 0.892
F 0.478 0.953 0.221
F 0.479 0.260 0.560
F 0.624 0.816 0.456
F 0.633 0.156 0.788
F 0.639 0.512 0.118
F 0.779 0.172 0.321
F 0.786 0.485 0.651
F 0.794 0.302 0.984
F 0.963 0.982 0.120
F 0.980 0.338 0.456
F 0.981 0.679 0.784
! - Space-group type: P1
! - E_tot: -175.596 eV per cell
! - Excess energy over the best structure of this formula in the dataset: 7 meV/atom
! - Spin magnetization: 1.00 μB per formula unit